# 1
# La8Pm5Er

La8Pm5Er after structural relaxation (GGA-PBE, the Alexandria database).

Properties
- Total moment: 0.000 Bohr magnetons per cell
- Crystal system: tetragonal
- V: 36.47 Å³ per atom
- Space-group type: I-4, No. 82
- Formation energy from the elements: 0.23 eV per atom

Cell: 8.723 8.723 8.723 Å, 110.44 110.44 107.54°
Fractional positions:
1 La 0.182 0.413 0.604
2 La 0.328 0.227 0.237
3 La 0.422 0.818 0.231
4 La 0.587 0.191 0.769
5 La 0.773 0.010 0.101
6 La 0.809 0.578 0.396
7 La 0.908 0.672 0.899
8 La 0.990 0.092 0.763
9 Pm 0.072 0.470 0.193
10 Pm 0.121 0.928 0.398
11 Pm 0.277 0.879 0.807
12 Pm 0.530 0.723 0.602
13 Pm 0.750 0.250 0.500
14 Er 0.500 0.500 0.000

# 2
# Zr5B2Te2

Zr5B2Te2 after structural relaxation (GGA-PBE, the Alexandria database).

Properties
- Total moment: 0.000 Bohr magnetons per cell
- Crystal system: orthorhombic
- V: 19.15 Å³ per atom
- Space-group type: Cmce, No. 64
- Uncorrected formation energy: -5.67 eV/f.u.

Cell: 8.014 8.014 6.896 Å, 90.00 90.00 51.10°
Fractional positions:
1 Zr 0.000 0.000 0.000
2 Zr 0.062 0.716 0.676
3 Zr 0.216 0.562 0.176
4 Zr 0.284 0.938 0.676
5 Zr 0.438 0.784 0.176
6 Zr 0.500 0.500 0.500
7 Zr 0.562 0.216 0.824
8 Zr 0.716 0.062 0.324
9 Zr 0.784 0.438 0.824
10 Zr 0.938 0.284 0.324
11 B 0.099 0.901 0.402
12 B 0.401 0.599 0.902
13 B 0.599 0.401 0.098
14 B 0.901 0.099 0.598
15 Te 0.211 0.211 0.000
16 Te 0.289 0.289 0.500
17 Te 0.711 0.711 0.500
18 Te 0.789 0.789 0.000

# 3
# Pm2Zn2InPt5

Pm2Zn2InPt5 after structural relaxation (GGA-PBE, the Alexandria database).

Properties
- Total moment: 0.000 Bohr magnetons per cell
- Crystal system: tetragonal
- V: 18.62 Å³ per atom
- Space-group type: P4/mbm, No. 127
- Formation energy from the elements: -0.80 eV per atom

Cell: 9.814 9.814 3.867 Å, 90.00 90.00 90.00°
Fractional positions:
1 Pm 0.178 0.322 0.000
2 Pm 0.322 0.822 0.000
3 Pm 0.678 0.178 0.000
4 Pm 0.822 0.678 0.000
5 Zn 0.119 0.619 0.000
6 Zn 0.381 0.119 0.000
7 Zn 0.619 0.881 0.000
8 Zn 0.881 0.381 0.000
9 In 0.000 0.000 0.000
10 In 0.500 0.500 0.000
11 Pt 0.000 0.500 0.500
12 Pt 0.065 0.790 0.500
13 Pt 0.210 0.065 0.500
14 Pt 0.290 0.565 0.500
15 Pt 0.435 0.290 0.500
16 Pt 0.500 0.000 0.500
17 Pt 0.565 0.710 0.500
18 Pt 0.710 0.435 0.500
19 Pt 0.790 0.935 0.500
20 Pt 0.935 0.210 0.500

# 4
# Cs3ErAg2Cl9

Cs3ErAg2Cl9 after structural relaxation (GGA-PBE, the Alexandria database).

Properties
- Total moment: 0.496 Bohr magnetons per cell
- Crystal system: trigonal
- V: 30.53 Å³ per atom
- Space-group type: P-3m1, No. 164
- Uncorrected formation energy: -23.78 eV/f.u.

Cell: 7.534 7.534 9.318 Å, 90.00 90.00 120.00°
Fractional positions:
1 Cs 0.000 0.000 0.000
2 Cs 0.333 0.667 0.679
3 Cs 0.667 0.333 0.321
4 Er 0.000 0.000 0.500
5 Ag 0.333 0.667 0.154
6 Ag 0.667 0.333 0.846
7 Cl 0.000 0.500 0.000
8 Cl 0.164 0.329 0.338
9 Cl 0.164 0.836 0.338
10 Cl 0.329 0.164 0.662
11 Cl 0.500 0.000 0.000
12 Cl 0.500 0.500 0.000
13 Cl 0.671 0.836 0.338
14 Cl 0.836 0.164 0.662
15 Cl 0.836 0.671 0.662

# 5
# RbPdSe2O8

RbPdSe2O8 after structural relaxation (GGA-PBE, the Alexandria database).

Properties
- Total moment: 1.007 Bohr magnetons per cell
- Crystal system: trigonal
- V: 16.54 Å³ per atom
- Space-group type: R-3, No. 148
- Uncorrected formation energy: -8.61 eV/f.u.

Cell: 9.421 9.421 9.421 Å, 31.15 31.15 31.15°
Fractional positions:
1 Rb 0.000 0.000 0.000
2 Pd 0.500 0.500 0.500
3 Se 0.234 0.234 0.234
4 Se 0.766 0.766 0.766
5 O 0.111 0.470 0.777
6 O 0.223 0.889 0.530
7 O 0.295 0.295 0.295
8 O 0.470 0.777 0.111
9 O 0.530 0.223 0.889
10 O 0.705 0.705 0.705
11 O 0.777 0.111 0.470
12 O 0.889 0.530 0.223

# 6
# RbAgIrF6

RbAgIrF6 after structural relaxation (GGA-PBE, the Alexandria database).

Properties
- Total moment: 1.022 Bohr magnetons per cell
- Crystal system: monoclinic
- V: 19.82 Å³ per atom
- Space-group type: C2, No. 5
- Uncorrected formation energy: -15.78 eV/f.u.

Cell: 6.150 6.150 5.454 Å, 90.03 90.03 120.14°
Fractional positions:
1 Rb 0.000 0.000 0.000
2 Ag 0.666 0.334 0.500
3 Ir 0.333 0.667 0.500
4 F 0.060 0.400 0.303
5 F 0.061 0.660 0.698
6 F 0.340 0.939 0.302
7 F 0.341 0.402 0.698
8 F 0.598 0.659 0.302
9 F 0.600 0.940 0.697